MnTcNO2: optimized geometry, GGA+U.

Values from the calculation:
- Theoretical density: 5.99 Mg/m³
- Total DFT energy (no corrections): -7.000 eV/atom

Unit cell a=3.705 b=3.705 c=4.018 alpha=90.00 beta=90.00 gamma=90.00
Space group P4/mmm (No. 123)
Unique sites:
Mn  0.000  0.000  0.000
Tc  0.500  0.500  0.500
N  0.000  0.000  0.500
O  0.000  0.500  0.000